LaBeNF2 | GGA-PBE | relaxed

For the total magnetization, the calculation gives 0.3 μB per formula unit. For the energy relative to the elements, uncorrected, the calculation gives -1.05 eV/atom. For the energy above the most stable polymorph in this dataset, the calculation gives 1.2376 eV per atom. For the calculated density, the calculation gives 3.29 g/cm3. As for the crystal system: tetragonal.

The space group is P4/mmm (No. 123) and the conventional cell measures 4.5801, 4.5801 and 4.8170 Å, with angles of 90.00, 90.00 and 90.00 degrees. Symmetry generates all atoms from La at (0.0000, 0.0000, 0.0000), Be at (0.5000, 0.5000, 0.5000), N at (0.0000, 0.0000, 0.5000) and F at (0.0000, 0.5000, 0.0000).

LaBeO2F | GGA-PBE | relaxed

For the total magnetization, the calculation gives 0.2 μB per formula unit. For the energy relative to the elements, uncorrected, the calculation gives -1.31 eV/atom. For the calculated density, the calculation gives 3.43 g/cm3. As for the crystal system: tetragonal.

The space group is P4/mmm (No. 123) and the conventional cell measures 4.5888, 4.5888 and 4.5725 Å, with angles of 90.00, 90.00 and 90.00 degrees. Symmetry generates all atoms from La at (0.0000, 0.0000, 0.0000), Be at (0.5000, 0.5000, 0.5000), O at (0.0000, 0.5000, 0.0000) and F at (0.0000, 0.0000, 0.5000).

> Which value of energy relative to the elements, uncorrected does entry 1 give?

-1.05 eV/atom

> Among the records above, which one has the lowest calculated density?

LaBeNF2

> Number 1 is which compound?

LaBeNF2

Copy entry 2 word for word.
LaBeO2F | GGA-PBE | relaxed

For the total magnetization, the calculation gives 0.2 μB per formula unit. For the energy relative to the elements, uncorrected, the calculation gives -1.31 eV/atom. For the calculated density, the calculation gives 3.43 g/cm3. As for the crystal system: tetragonal.

The space group is P4/mmm (No. 123) and the conventional cell measures 4.5888, 4.5888 and 4.5725 Å, with angles of 90.00, 90.00 and 90.00 degrees. Symmetry generates all atoms from La at (0.0000, 0.0000, 0.0000), Be at (0.5000, 0.5000, 0.5000), O at (0.0000, 0.5000, 0.0000) and F at (0.0000, 0.0000, 0.5000).